UZnGa2Ni4 PBE optimized geometry; total magnetization = 1.65 μB/f.u.; SG = R-3m; VASP energy = -5.476 eV per atom; energy of formation = -0.258 eV per atom; volume = 14.2 Å³/atom
1.0
2.0344 1.1746 7.9423
-2.0344 1.1746 7.9423
0.0000 -2.3492 7.9423
U Zn Ga Ni
1 1 2 4
Cartesian
0.0000 0.0000 0.0000
0.0000 0.0000 11.9135
0.0000 0.0000 5.7217
0.0000 0.0000 18.1052
0.0000 0.0000 3.0800
0.0000 0.0000 9.4658
0.0000 0.0000 14.3611
0.0000 0.0000 20.7469

VGa2Ni2 PBE optimized geometry; total magnetization = 0.13 μB/f.u.; SG = P4/mbm; VASP energy = -5.549 eV per atom; energy above the lowest structure with this stoichiometry = 0 kJ/mol of formula units; energy of formation = -0.202 eV per atom; volume = 12.9 Å³/atom
1.0
7.0106 0.0000 0.0000
0.0000 7.0106 0.0000
0.0000 0.0000 2.6283
V Ga Ni
2 4 4
Cartesian
0.0000 0.0000 0.0000
3.5053 3.5053 0.0000
1.1839 2.3214 1.3142
2.3214 5.8267 1.3142
4.6892 1.1839 1.3142
5.8267 4.6892 1.3142
0.9032 4.4085 0.0000
2.6021 0.9032 0.0000
4.4085 6.1074 0.0000
6.1074 2.6021 0.0000

VGa2Ni4 PBE optimized geometry; total magnetization = 0.00 μB/f.u.; SG = R-3m; VASP energy = -5.629 eV per atom; energy above the lowest structure with this stoichiometry = 0 kJ/mol of formula units; energy of formation = -0.158 eV per atom; volume = 13.1 Å³/atom
1.0
2.0258 1.1696 6.4625
-2.0258 1.1696 6.4625
0.0000 -2.3391 6.4625
V Ga Ni
1 2 4
Cartesian
0.0000 0.0000 0.0000
0.0000 0.0000 4.8275
0.0000 0.0000 14.5600
0.0000 0.0000 2.4162
0.0000 0.0000 7.3148
0.0000 0.0000 12.0726
0.0000 0.0000 16.9713

V4GaNi2 PBE optimized geometry; total magnetization = 3.34 μB/f.u.; SG = I4/mmm; VASP energy = -6.334 eV per atom; energy of formation = 0.961 eV per atom; volume = 17.0 Å³/atom
1.0
4.4951 0.0000 0.0000
0.0000 4.4951 0.0000
0.0000 0.0000 11.7622
V Ga Ni
8 2 4
Cartesian
0.0000 0.0000 2.4149
0.0000 0.0000 9.3473
0.0000 2.2476 0.0000
0.0000 2.2476 5.8811
2.2476 0.0000 0.0000
2.2476 0.0000 5.8811
2.2476 2.2476 3.4662
2.2476 2.2476 8.2960
0.0000 0.0000 0.0000
2.2476 2.2476 5.8811
0.0000 0.0000 4.6661
0.0000 0.0000 7.0961
2.2476 2.2476 1.2150
2.2476 2.2476 10.5472

V2GaNi3 PBE optimized geometry; total magnetization = 0.09 μB/f.u.; SG = Cmcm; VASP energy = -6.491 eV per atom; energy above the lowest structure with this stoichiometry = 82 kJ/mol of formula units; energy of formation = -0.057 eV per atom; volume = 12.6 Å³/atom
1.0
3.8236 -3.9893 0.0000
3.8236 3.9893 0.0000
0.0000 0.0000 4.9514
V Ga Ni
4 2 6
Cartesian
2.5922 2.1686 3.7135
5.0550 2.1686 3.7135
2.5922 -2.1686 1.2378
5.0550 -2.1686 1.2378
3.8236 1.8001 1.2378
3.8236 -1.8001 3.7135
0.0000 0.0000 0.0000
0.0000 0.0000 2.4757
2.5022 0.0000 0.0000
2.5022 0.0000 2.4757
5.1450 0.0000 0.0000
5.1450 0.0000 2.4757

VGa2Ni PBE optimized geometry; total magnetization = 0.00 μB/f.u.; SG = P4/mmm; VASP energy = -5.516 eV per atom; energy of formation = -0.277 eV per atom; volume = 13.2 Å³/atom
1.0
2.7361 0.0000 0.0000
0.0000 2.7361 0.0000
0.0000 0.0000 7.0680
V Ga Ni
1 2 1
Cartesian
0.0000 0.0000 0.0000
1.3680 1.3680 1.9078
1.3680 1.3680 5.1602
0.0000 0.0000 3.5340

VGa2Ni PBE optimized geometry; total magnetization = 0.90 μB/f.u.; SG = I-42d; VASP energy = -5.143 eV per atom; energy of formation = 0.095 eV per atom; volume = 14.8 Å³/atom
1.0
6.7069 0.0000 0.0000
0.0000 6.7069 0.0000
0.0000 0.0000 5.2720
V Ga Ni
4 8 4
Cartesian
0.0000 0.0000 0.0000
0.0000 3.3534 1.3180
3.3534 0.0000 3.9540
3.3534 3.3534 2.6360
1.5004 5.0301 3.2950
1.6767 1.5004 1.9770
1.6767 1.8530 4.6130
1.8530 5.0301 0.6590
4.8538 1.6767 0.6590
5.0301 4.8538 4.6130
5.0301 5.2065 1.9770
5.2065 1.6767 3.2950
0.0000 0.0000 2.6360
0.0000 3.3534 3.9540
3.3534 0.0000 1.3180
3.3534 3.3534 0.0000

V3GaNi PBE optimized geometry; total magnetization = 0.00 μB/f.u.; SG = Pm-3m; VASP energy = -6.513 eV per atom; energy above the lowest structure with this stoichiometry = 249 kJ/mol of formula units; energy of formation = 0.720 eV per atom; volume = 16.3 Å³/atom
1.0
4.3342 0.0000 0.0000
0.0000 4.3342 0.0000
0.0000 0.0000 4.3342
V Ga Ni
3 1 1
Cartesian
0.0000 0.0000 2.1671
0.0000 2.1671 0.0000
2.1671 0.0000 0.0000
2.1671 2.1671 2.1671
0.0000 0.0000 0.0000

VGa6Ni PBE optimized geometry; total magnetization = 0.70 μB/f.u.; SG = R-3m; VASP energy = -4.219 eV per atom; energy of formation = -0.086 eV per atom; volume = 16.7 Å³/atom
1.0
4.1501 2.3960 2.2370
-4.1501 2.3960 2.2370
0.0000 -4.7921 2.2370
V Ga Ni
1 6 1
Cartesian
0.0000 0.0000 0.0000
0.0000 -2.1239 2.3852
-1.8394 1.0620 2.3852
-1.8394 -1.0620 4.3258
1.8394 1.0620 2.3852
1.8394 -1.0620 4.3258
0.0000 2.1239 4.3258
0.0000 0.0000 3.3555

V4GaNi15 PBE optimized geometry; total magnetization = 3.19 μB/f.u.; SG = P4/mmm; VASP energy = -6.530 eV per atom; energy of formation = -0.219 eV per atom; volume = 11.3 Å³/atom
1.0
3.5626 0.0000 0.0000
0.0000 3.5626 0.0000
0.0000 0.0000 17.8549
V Ga Ni
4 1 15
Cartesian
0.0000 0.0000 1.7867
0.0000 0.0000 5.3858
0.0000 0.0000 12.4690
0.0000 0.0000 16.0682
0.0000 0.0000 8.9274
0.0000 1.7813 0.0000
0.0000 1.7813 3.5703
0.0000 1.7813 7.0869
0.0000 1.7813 10.7680
0.0000 1.7813 14.2846
1.7813 0.0000 0.0000
1.7813 0.0000 3.5703
1.7813 0.0000 7.0869
1.7813 0.0000 10.7680
1.7813 0.0000 14.2846
1.7813 1.7813 1.7868
1.7813 1.7813 5.3327
1.7813 1.7813 8.9274
1.7813 1.7813 12.5222
1.7813 1.7813 16.0680

V2GaNi8 PBE optimized geometry; total magnetization = 0.00 μB/f.u.; SG = C2/m; VASP energy = -6.185 eV per atom; energy of formation = -0.047 eV per atom; volume = 12.1 Å³/atom
1.0
3.2478 -6.1693 0.0000
3.2478 6.1693 0.0000
-2.8541 0.0000 3.3156
V Ga Ni
2 1 8
Cartesian
3.2478 3.8777 0.0000
3.2478 -3.8777 0.0000
1.8207 0.0000 1.6578
-0.6098 0.0000 0.8993
-0.5163 1.6958 2.5472
1.8207 2.3881 1.6578
-0.5163 -1.6958 2.5472
4.1577 1.6958 0.7684
1.8207 -2.3881 1.6578
4.1577 -1.6958 0.7684
4.2512 0.0000 2.4164

VGaNi PBE optimized geometry; total magnetization = 0.60 μB/f.u.; SG = P6_3/mmc; VASP energy = -6.250 eV per atom; energy of formation = -0.274 eV per atom; volume = 12.9 Å³/atom
1.0
4.1809 0.0000 0.0000
-2.0905 3.6208 0.0000
0.0000 0.0000 5.1066
V Ga Ni
2 2 2
Cartesian
0.0000 0.0000 0.0000
0.0000 0.0000 2.5533
0.0000 2.4139 1.2766
2.0905 1.2069 3.8299
0.0000 2.4139 3.8299
2.0905 1.2069 1.2766